! Ho2RuRh (GGA-PBEsol, optimized geometry); values from VASP
! **Volume**: 18.548 Å³ per atom
! **Energy of formation**: -0.61 eV per atom
! **D(E_F)**: 2.02 states/eV per cell
&SYSTEM
  ibrav = 0, nat = 4, ntyp = 3
/
ATOMIC_SPECIES
Rh 102.91 Rh.upf
Ru 101.07 Ru.upf
Ho 164.93 Ho.upf
ATOMIC_POSITIONS angstrom
Rh -4.096 2.211 3.421
Ru 0.000 0.000 0.000
Ho -2.048 1.105 1.710
Ho -6.145 3.316 5.131
CELL_PARAMETERS angstrom
-2.459 3.886 1.047
-4.513 -0.350 1.325
-1.221 0.885 4.469



! HoSbRh2 (GGA-PBEsol, optimized geometry); values from VASP
! **Uncorrected formation energy**: -737 meV/atom
! **Volume**: 17.483 Å³ per atom
! **D(E_F)**: 4.74 states/eV per cell
&SYSTEM
  ibrav = 0, nat = 4, ntyp = 3
/
ATOMIC_SPECIES
Rh 102.91 Rh.upf
Sb 121.76 Sb.upf
Ho 164.93 Ho.upf
ATOMIC_POSITIONS angstrom
Rh -0.705 -1.634 2.203
Rh -2.116 -4.901 6.609
Sb 0.000 0.000 0.000
Ho -1.411 -3.267 4.406
CELL_PARAMETERS angstrom
-0.676 -0.085 4.574
-3.300 -2.694 1.800
1.155 -3.756 2.439



! HoSbRh (GGA-PBEsol, optimized geometry); values from VASP
! **Uncorrected formation energy**: -1025 meV/atom
! **Volume**: 20.330 Å³ per atom
! **D(E_F)**: 6.21 states/eV per cell
&SYSTEM
  ibrav = 0, nat = 12, ntyp = 3
/
ATOMIC_SPECIES
Sb 121.76 Sb.upf
Rh 102.91 Rh.upf
Ho 164.93 Ho.upf
ATOMIC_POSITIONS angstrom
Sb 3.381 5.663 0.701
Sb 3.381 2.155 3.155
Sb 1.127 1.354 7.011
Sb 1.127 4.863 4.557
Rh 1.127 2.117 4.483
Rh 1.127 5.625 7.085
Rh 3.381 1.392 0.627
Rh 3.381 4.901 3.229
Ho 3.381 6.953 5.404
Ho 3.381 3.445 6.164
Ho 1.127 3.572 1.548
Ho 1.127 0.064 2.308
CELL_PARAMETERS angstrom
4.508 0.000 0.000
0.000 7.017 0.000
0.000 0.000 7.712



! HoSi2Rh3 (GGA-PBEsol, optimized geometry); values from VASP
! **Uncorrected formation energy**: -1061 meV/atom
! **Volume**: 15.509 Å³ per atom
! **D(E_F)**: 1.49 states/eV per cell
&SYSTEM
  ibrav = 0, nat = 6, ntyp = 3
/
ATOMIC_SPECIES
Rh 102.91 Rh.upf
Si 28.09 Si.upf
Ho 164.93 Ho.upf
ATOMIC_POSITIONS angstrom
Rh 1.826 -1.356 2.349
Rh 1.826 2.712 0.000
Rh 1.826 1.356 2.349
Si 0.000 0.000 3.131
Si 0.000 2.712 1.566
Ho 0.000 0.000 0.000
CELL_PARAMETERS angstrom
3.653 0.000 0.000
0.000 5.424 0.000
0.000 -2.712 4.697



! SmHoRh2 (GGA-PBEsol, optimized geometry); values from VASP
! **Volume**: 19.634 Å³ per atom
! **Energy of formation**: -0.75 eV per atom
! **D(E_F)**: 2.30 states/eV per cell
&SYSTEM
  ibrav = 0, nat = 4, ntyp = 3
/
ATOMIC_SPECIES
Rh 102.91 Rh.upf
Ho 164.93 Ho.upf
Sm 150.36 Sm.upf
ATOMIC_POSITIONS angstrom
Rh 7.210 4.163 2.944
Rh 2.403 1.388 0.981
Ho 0.000 0.000 0.000
Sm 4.807 2.775 1.962
CELL_PARAMETERS angstrom
4.807 0.000 0.000
2.403 4.163 0.000
2.403 1.388 3.925



! Ho2Sn5Rh3 (GGA-PBEsol, optimized geometry); values from VASP
! **Volume**: 20.288 Å³ per atom
! **Energy of formation**: -0.74 eV per atom
! **D(E_F)**: 8.91 states/eV per cell
&SYSTEM
  ibrav = 0, nat = 20, ntyp = 3
/
ATOMIC_SPECIES
Sn 118.71 Sn.upf
Ho 164.93 Ho.upf
Rh 102.91 Rh.upf
ATOMIC_POSITIONS angstrom
Sn 1.291 -3.209 2.807
Sn 5.407 -2.544 8.321
Sn 6.553 2.217 8.415
Sn 1.484 2.679 5.022
Sn 0.573 -4.052 5.876
Sn 5.296 4.987 9.595
Sn 2.091 -0.284 2.998
Sn 4.805 -0.012 10.489
Sn 4.953 0.106 6.854
Sn 1.832 -0.050 6.367
Ho 8.018 0.721 10.923
Ho 3.323 -2.647 5.456
Ho 3.523 2.686 7.856
Ho -1.127 -0.977 2.543
Rh 1.682 -5.585 4.100
Rh 3.639 1.106 4.712
Rh 3.197 -0.995 8.562
Rh 6.058 4.442 7.025
Rh 5.621 2.561 10.812
Rh 0.371 -1.606 4.825
CELL_PARAMETERS angstrom
-3.487 0.790 2.507
0.933 -6.250 3.268
9.418 5.379 7.599



> volume of number 3 (HoSbRh)?

20.330 Å³ per atom